1.
Entry from Alexandria via LeMat-Bulk: an optimized crystal structure of Tl2CoTe (GGA-PBEsol).

Cell lengths 3.3173, 4.2951, 6.8085 Å; angles 108.39, 90.00, 90.00 degrees
Positions (direct):
Co 0.0000 0.8527 0.7055
Te 0.5000 0.7078 0.4155
Tl 0.0000 0.0626 0.1252
Tl 0.5000 0.3920 0.7841

Properties
M_tot: 0.00 μB per cell
E_form (uncorrected): 149 meV/atom
Excess energy over the best structure of this formula in the dataset: 1.138 kcal/mol of atoms

=====

2.
Entry from Alexandria via LeMat-Bulk: an optimized crystal structure of Tl2CoTe (GGA-PBEsol).

Cell lengths 3.9635, 4.6950, 6.0568 Å; angles 112.79, 90.00, 90.00 degrees
Positions (direct):
Co 0.5000 0.0000 0.5000
Te 0.5000 0.5000 0.5000
Tl 0.0000 0.1600 0.8204
Tl 0.0000 0.8400 0.1796

Properties
M_tot: 0.01 μB per cell
E_form (uncorrected): 191 meV/atom
Excess energy over the best structure of this formula in the dataset: 2.108 kcal/mol of atoms

=====

3.
Entry from Alexandria via LeMat-Bulk: an optimized crystal structure of CoTe2W (GGA-PBEsol).

Cell lengths 3.8250, 3.8253, 7.0427 Å; angles 74.26, 74.24, 60.00 degrees
Positions (direct):
Co 0.7638 0.7638 0.7087
Te 0.0366 0.0370 0.8897
Te 0.2265 0.2261 0.3209
W 0.4731 0.4731 0.5807

Properties
M_tot: 0.00 μB per cell
E_form (uncorrected): 69 meV/atom
Excess energy over the best structure of this formula in the dataset: 0.000 kcal/mol of atoms

=====

4.
Entry from Alexandria via LeMat-Bulk: an optimized crystal structure of CoTe2W (GGA-PBEsol).

Cell lengths 3.3009, 3.3009, 7.8475 Å; angles 77.86, 77.86, 60.00 degrees
Last column: magnetic moment on the atom in μB.
Positions (direct):
Co 0.0000 0.0000 0.0000  0.93
Te 0.2546 0.2546 0.2362  0.01
Te 0.7454 0.7454 0.7638  0.01
W 0.5000 0.5000 0.5000  -0.07

Properties
M_tot: 0.84 μB per cell
E_form (uncorrected): 460 meV/atom
Excess energy over the best structure of this formula in the dataset: 9.022 kcal/mol of atoms

=====

5.
Entry from Alexandria via LeMat-Bulk: an optimized crystal structure of YCo2Te (GGA-PBEsol).

Cell lengths 3.6944, 3.9262, 5.3016 Å; angles 111.73, 110.39, 90.00 degrees
Positions (direct):
Y 0.2449 0.7449 0.4898
Te 0.4884 0.4884 0.9767
Co 0.0030 0.0030 0.0060
Co 0.7637 0.2637 0.5274

Properties
M_tot: 0.00 μB per cell
E_form (uncorrected): -44 meV/atom

=====

6.
Entry from Alexandria via LeMat-Bulk: an optimized crystal structure of YCoTe2 (GGA-PBEsol).

Cell lengths 4.1362, 4.1362, 6.8054 Å; angles 72.31, 72.31, 60.00 degrees
Last column: magnetic moment on the atom in μB.
Positions (direct):
Co 0.5000 0.5000 0.5000  1.61
Te 0.7646 0.7646 0.7062  0.08
Te 0.2354 0.2354 0.2938  0.08
Y 0.0000 0.0000 0.0000  0.15

Properties
M_tot: 2.00 μB per cell
E_form (uncorrected): -571 meV/atom

=====

7.
Entry from Alexandria via LeMat-Bulk: an optimized crystal structure of Y2CoTe (GGA-PBEsol).

Cell lengths 4.0249, 4.0249, 6.2602 Å; angles 90.00, 90.00, 90.00 degrees
Positions (direct):
Co 0.0000 0.0000 0.3612
Te 0.5000 0.5000 0.8224
Y 0.0000 0.0000 0.9773
Y 0.5000 0.5000 0.3392

Properties
M_tot: 0.00 μB per cell
E_form (uncorrected): -473 meV/atom

=====

8.
Entry from Alexandria via LeMat-Bulk: an optimized crystal structure of YCoTe2 (GGA-PBEsol).

Cell lengths 3.7451, 3.8743, 6.6542 Å; angles 104.60, 90.00, 90.00 degrees
Last column: magnetic moment on the atom in μB.
Positions (direct):
Co 0.5000 0.5000 0.0000  0.82
Te 0.0000 0.5867 0.7669  0.01
Te 0.0000 0.4133 0.2331  0.01
Y 0.5000 0.0000 0.5000  -0.02

Properties
M_tot: 0.80 μB per cell
E_form (uncorrected): -456 meV/atom

=====

Q: Among the records above, which one has the lowest E_form (uncorrected)?
A: number 6